a:
# AcThIn4

A geometry-optimized AcThIn4 structure (GGA-PBE, Alexandria via LeMat-Bulk).

Summary:
The crystal system is hexagonal. The calculation puts the density at 8.786 g cm⁻³.

Lattice parameters (Å, degrees): 5.143 5.143 7.577 90.00 90.00 120.00
Sites, in units of the cell vectors:
Ac (0.000, 0.000, 0.000)
Th (0.000, 0.000, 0.500)
In (0.333, 0.667, 0.266)
In (0.333, 0.667, 0.734)
In (0.667, 0.333, 0.266)
In (0.667, 0.333, 0.734)

---

b:
# AcThIn4

A geometry-optimized AcThIn4 structure (GGA-PBE, Alexandria via LeMat-Bulk).

Summary:
The crystal system is cubic. The calculation puts the density at 9.028 g cm⁻³.

Lattice parameters (Å, degrees): 6.205 6.205 6.205 60.00 60.00 60.00
Sites, in units of the cell vectors:
Ac (0.000, 0.000, 0.000)
Th (0.750, 0.750, 0.750)
In (0.375, 0.375, 0.375)
In (0.375, 0.375, 0.874)
In (0.375, 0.874, 0.375)
In (0.874, 0.375, 0.375)

---

Relative energies, in meV/atom, with the most stable structure set to zero: a 0; b 49.

---

a:
# AcThIn

A geometry-optimized AcThIn structure (GGA-PBE, Alexandria via LeMat-Bulk).

Summary:
The crystal system is trigonal. The calculation puts the density at 9.319 g cm⁻³.

Lattice parameters (Å, degrees): 5.532 5.532 3.858 90.00 90.00 120.00
Sites, in units of the cell vectors:
Ac (0.000, 0.000, 0.000)
Th (0.333, 0.667, 0.559)
In (0.667, 0.333, 0.375)

---

b:
# AcThIn

A geometry-optimized AcThIn structure (GGA-PBE, Alexandria via LeMat-Bulk).

Summary:
The crystal system is tetragonal. The calculation puts the density at 7.530 g cm⁻³.

Lattice parameters (Å, degrees): 4.426 4.426 6.459 90.00 90.00 90.00
Sites, in units of the cell vectors:
Ac (0.000, 0.000, 0.000)
Th (0.500, 0.500, 0.500)
In (0.000, 0.000, 0.500)

---

Relative energies, in meV/atom, with the most stable structure set to zero: a 0; b 269.